Entry 1:
Material: HoIn2Bi
Method: DFT, PBE
State: optimized geometry

Cell and atoms, written as POSCAR:
```
HoIn2Bi
1.0
1.734 1.001 11.973
-1.734 1.001 11.973
0.000 -2.003 11.973
Ho In Bi
1 2 1
Direct
0.000 0.000 0.000
0.088 0.088 0.088
0.912 0.912 0.912
0.500 0.500 0.500
```

Calculated values
Formation energy, eV per formula unit: 0.568

=====

Entry 2:
Material: HfMn4Tc
Method: DFT, PBE
State: optimized geometry

Cell and atoms, written as POSCAR:
```
HfMn4Tc
1.0
0.000 3.389 3.389
3.389 0.000 3.389
3.389 3.389 0.000
Hf Mn Tc
1 4 1
Direct
0.000 0.000 0.000
0.119 0.627 0.627
0.627 0.119 0.627
0.627 0.627 0.119
0.627 0.627 0.627
0.250 0.250 0.250
```

Calculated values
Formation energy, eV per formula unit: -0.668

=====

Entry 3:
Material: Zr2InHg2
Method: DFT, PBE
State: optimized geometry

Cell and atoms, written as POSCAR:
```
Zr2InHg2
1.0
7.999 0.000 0.000
0.000 7.999 0.000
0.000 0.000 3.552
Zr In Hg
4 2 4
Direct
0.173 0.327 0.000
0.327 0.827 0.000
0.673 0.173 0.000
0.827 0.673 0.000
0.000 0.000 0.500
0.500 0.500 0.500
0.127 0.627 0.500
0.373 0.127 0.500
0.627 0.873 0.500
0.873 0.373 0.500
```

Calculated values
Distance to the lowest polymorph of the same formula, meV/atom: 24
Formation energy, eV per formula unit: -0.285

=====

Entry 4:
Material: Rb4BaPa3O12
Method: DFT, PBE
State: optimized geometry

Cell and atoms, written as POSCAR:
```
Rb4BaPa3O12
1.0
-4.552 4.552 4.552
4.552 -4.552 4.552
4.552 4.552 -4.552
Rb Ba Pa O
4 1 3 12
Direct
0.000 0.000 0.500
0.000 0.500 0.000
0.500 0.000 0.000
0.500 0.500 0.500
0.000 0.000 0.000
0.000 0.500 0.500
0.500 0.000 0.500
0.500 0.500 0.000
0.000 0.281 0.281
0.000 0.719 0.719
0.250 0.500 0.750
0.250 0.750 0.500
0.281 0.000 0.281
0.281 0.281 0.000
0.500 0.250 0.750
0.500 0.750 0.250
0.719 0.000 0.719
0.719 0.719 0.000
0.750 0.250 0.500
0.750 0.500 0.250
```

Calculated values
Uncorrected formation energy, eV per atom: -2.625

=====

Entry 5:
Material: ThPaN2O
Method: DFT, PBE
State: optimized geometry

Cell and atoms, written as POSCAR:
```
ThPaN2O
1.0
3.611 0.000 0.000
0.000 3.611 0.000
0.000 0.000 11.438
Th Pa N O
2 2 4 2
Direct
0.250 0.250 0.130
0.750 0.750 0.870
0.250 0.250 0.610
0.750 0.750 0.390
0.250 0.250 0.389
0.250 0.250 0.791
0.750 0.750 0.209
0.750 0.750 0.611
0.250 0.750 0.000
0.750 0.250 0.000
```

Calculated values
Uncorrected formation energy, eV per atom: -2.180

=====

Entry 6:
Material: V2TcMo
Method: DFT, PBE
State: optimized geometry

Cell and atoms, written as POSCAR:
```
V2TcMo
1.0
0.000 3.049 3.049
3.049 0.000 3.049
3.049 3.049 0.000
V Tc Mo
2 1 1
Direct
0.250 0.250 0.250
0.750 0.750 0.750
0.000 0.000 0.000
0.500 0.500 0.500
```

Calculated values
Distance to the lowest polymorph of the same formula, meV/atom: 0
Formation energy, eV per formula unit: -1.072

=====

Entry 7:
Material: HfSc4Tl3
Method: DFT, PBE
State: optimized geometry

Cell and atoms, written as POSCAR:
```
HfSc4Tl3
1.0
3.386 0.000 0.000
0.000 3.386 0.000
0.000 0.000 16.250
Hf Sc Tl
1 4 3
Direct
0.000 0.000 0.000
0.500 0.500 0.126
0.500 0.500 0.374
0.500 0.500 0.626
0.500 0.500 0.874
0.000 0.000 0.250
0.000 0.000 0.500
0.000 0.000 0.750
```

Calculated values
Formation energy, eV per formula unit: -1.591

=====

Entry 8:
Material: Ca6Sn3H2
Method: DFT, PBE
State: optimized geometry

Cell and atoms, written as POSCAR:
```
Ca6Sn3H2
1.0
-2.536 2.536 11.676
2.536 -2.536 11.676
2.536 2.536 -11.676
Ca Sn H
6 3 2
Direct
0.082 0.582 0.500
0.199 0.199 0.000
0.418 0.918 0.500
0.582 0.082 0.500
0.801 0.801 0.000
0.918 0.418 0.500
0.335 0.335 0.000
0.500 0.500 0.000
0.665 0.665 0.000
0.098 0.098 0.000
0.902 0.902 0.000
```

Calculated values
E, eV per atom: -3.36

=====

Number 1: density of states at the Fermi level 3.8 states/eV/f.u.. Number 2: density of states at the Fermi level 8.2 states/eV/f.u.. Number 3: density of states at the Fermi level 1.7 states/eV/f.u.. Number 4: density of states at the Fermi level 16.6 states/eV/f.u.. Number 5: density of states at the Fermi level 1.8 states/eV/f.u.. Number 6: density of states at the Fermi level 2.2 states/eV/f.u.. Number 7: density of states at the Fermi level 5.9 states/eV/f.u.. Number 8: density of states at the Fermi level 0.6 states/eV/f.u..